Entry 1:
DFT (PBE) results for a relaxed Sm2DyCdHg4 crystal.

Lattice parameters (Å, degrees): 9.2641 9.2641 9.2641 32.59 32.59 32.59
Last column: nearest neighbours and their distance in Å.
Fractional coordinates of all 8 atoms:
1 Sm 0.2420 0.2420 0.2420  8 Hg 3.10-3.35
2 Sm 0.7580 0.7580 0.7580  8 Hg 3.10-3.35
3 Dy 0.0000 0.0000 0.0000  8 Hg 3.14-3.20
4 Cd 0.5000 0.5000 0.5000  8 Hg 3.23-3.47, 6 Sm 3.60
5 Hg 0.1216 0.1216 0.1216  4 Sm 3.10-3.17, 1 Dy 3.20, 3 Cd 3.23
6 Hg 0.3679 0.3679 0.3679  3 Dy 3.14, 4 Sm 3.31-3.35, 1 Cd 3.47, 3 Hg 3.51
7 Hg 0.6321 0.6321 0.6321  3 Dy 3.14, 4 Sm 3.31-3.35, 1 Cd 3.47, 3 Hg 3.51
8 Hg 0.8784 0.8784 0.8784  4 Sm 3.10-3.17, 1 Dy 3.20, 3 Cd 3.23

Summary:
* density of states at the Fermi level: 4.210 states/eV/cell
* calculated total energy: -2.467 eV/atom

Entry 2:
DFT (PBE) results for a relaxed DyCdSnHg crystal.

Lattice parameters (Å, degrees): 5.2100 5.2100 5.2100 60.00 60.00 60.00
Last column: nearest neighbours and their distance in Å.
Fractional coordinates of all 4 atoms:
1 Dy 0.0000 0.0000 0.0000  4 Hg 3.19, 4 Sn 3.19
2 Cd 0.5000 0.5000 0.5000  4 Hg 3.19, 4 Sn 3.19
3 Sn 0.2500 0.2500 0.2500  4 Cd 3.19, 4 Dy 3.19
4 Hg 0.7500 0.7500 0.7500  4 Cd 3.19, 4 Dy 3.19

Summary:
* density of states at the Fermi level: 3.157 states/eV/cell
* calculated total energy: -2.719 eV/atom